[1]
Density functional theory data (PBE) for an optimized crystal structure of Cs2CoSeS2.

a b c (Å): 7.7373 7.7373 9.9451
angles (deg): 118.93 118.93 55.64
Fractional positions:
Cs 0.0753 0.0753 0.3541
Cs 0.2972 0.2972 0.1769
Cs 0.7028 0.7028 0.8231
Cs 0.9247 0.9247 0.6459
Co 0.3971 0.3971 0.8444
Co 0.6029 0.6029 0.1556
Se 0.3901 0.3901 0.6132
Se 0.6099 0.6099 0.3868
S 0.2221 0.2221 0.7766
S 0.2772 0.7228 0.0000
S 0.7228 0.2772 0.0000
S 0.7779 0.7779 0.2234

Results
raw total energy	-4.1230	eV/atom
total magnetization	2.8	μB per cell

---

[2]
Density functional theory data (PBE) for an optimized crystal structure of CsCoSeS2.

a b c (Å): 6.1936 7.1434 7.7793
angles (deg): 103.05 106.92 109.93
Fractional positions:
Cs 0.2164 0.3539 0.1571
Cs 0.7836 0.6461 0.8429
Co 0.2333 0.9345 0.5188
Co 0.7667 0.0655 0.4812
Se 0.2040 0.6414 0.6006
Se 0.7960 0.3586 0.3994
S 0.1648 0.1852 0.6679
S 0.3631 0.9286 0.2874
S 0.6369 0.0714 0.7126
S 0.8352 0.8148 0.3321

Results
raw total energy	-4.4682	eV/atom
total magnetization	0.0	μB per cell

---

[3]
Density functional theory data (PBE) for an optimized crystal structure of Cs2CoTe2S.

a b c (Å): 7.8151 7.8151 9.9219
angles (deg): 110.18 110.18 57.89
Fractional positions:
Cs 0.0745 0.0745 0.3286
Cs 0.3133 0.3133 0.1676
Cs 0.6867 0.6867 0.8324
Cs 0.9255 0.9255 0.6714
Co 0.4271 0.4271 0.8736
Co 0.5729 0.5729 0.1264
Te 0.2244 0.2244 0.7494
Te 0.3787 0.3787 0.5998
Te 0.6213 0.6213 0.4002
Te 0.7756 0.7756 0.2506
S 0.2778 0.7222 0.0000
S 0.7222 0.2778 0.0000

Results
raw total energy	-3.8133	eV/atom
total magnetization	2.0	μB per cell

---

[4]
Density functional theory data (PBE) for an optimized crystal structure of CsZnCoS3.

a b c (Å): 7.8688 7.8688 9.5853
angles (deg): 90.00 90.00 153.10
Fractional positions:
Cs 0.2491 0.7509 0.7500
Cs 0.7509 0.2491 0.2500
Zn 0.0349 0.9651 0.2500
Zn 0.9651 0.0349 0.7500
Co 0.5000 0.5000 0.0000
Co 0.5000 0.5000 0.5000
S 0.0959 0.9041 0.0330
S 0.0959 0.9041 0.4670
S 0.4434 0.5566 0.2500
S 0.5566 0.4434 0.7500
S 0.9041 0.0959 0.5330
S 0.9041 0.0959 0.9670

Results
raw total energy	-4.1623	eV/atom
total magnetization	0.0	μB per cell

---

[5]
Density functional theory data (PBE) for an optimized crystal structure of CsScCo.

a b c (Å): 4.7001 4.7001 4.7001
angles (deg): 60.00 60.00 60.00
Fractional positions:
Cs 0.0000 0.0000 0.0000
Sc 0.2500 0.2500 0.2500
Co 0.7500 0.7500 0.7500

Results
raw total energy	-2.9867	eV/atom
total magnetization	0.9	μB per cell

---

[6]
Density functional theory data (PBE) for an optimized crystal structure of CsCo2Se3.

a b c (Å): 7.6768 7.6768 5.4656
angles (deg): 90.00 90.00 100.33
Fractional positions:
Cs 0.1634 0.8366 0.7500
Cs 0.8366 0.1634 0.2500
Co 0.3634 0.3634 0.0000
Co 0.3634 0.3634 0.5000
Co 0.6366 0.6366 0.0000
Co 0.6366 0.6366 0.5000
Se 0.1235 0.3454 0.7500
Se 0.3454 0.1235 0.2500
Se 0.3884 0.6116 0.2500
Se 0.6116 0.3884 0.7500
Se 0.6546 0.8765 0.7500
Se 0.8765 0.6546 0.2500

Results
raw total energy	-4.7606	eV/atom
total magnetization	4.7	μB per cell

---

Please write out number 5 again, unchanged.
Density functional theory data (PBE) for an optimized crystal structure of CsScCo.

a b c (Å): 4.7001 4.7001 4.7001
angles (deg): 60.00 60.00 60.00
Fractional positions:
Cs 0.0000 0.0000 0.0000
Sc 0.2500 0.2500 0.2500
Co 0.7500 0.7500 0.7500

Results
raw total energy	-2.9867	eV/atom
total magnetization	0.9	μB per cell

---

- What is the formula in the fifth record?
  CsScCo

---

- Look up the raw total energy of the first one.
  -4.1230 eV/atom

---

- The lowest raw total energy belongs to which entry?
  CsCo2Se3